No. 1
Entry from Alexandria: an optimized crystal structure of U3Ni7Ge4 (GGA-PBE).

Results
**Volume**: 213 Å³/cell
**E_form**: -0.368 eV/atom

Unit cell a=4.065 b=7.795 c=7.498 alpha=71.40 beta=74.27 gamma=74.89
Last column: magnetic moment on the atom in μB.
Positions (direct):
U1 0.311 0.194 0.185  0.92
U2 0.689 0.806 0.815  0.92
U3 0.000 0.500 0.500  1.97
Ni1 0.323 0.801 0.553  -0.10
Ni2 0.504 0.188 0.804  -0.04
Ni3 0.872 0.347 0.910  -0.04
Ni4 0.677 0.199 0.447  -0.10
Ni5 0.128 0.653 0.090  -0.04
Ni6 0.000 0.000 0.000  -0.05
Ni7 0.496 0.812 0.196  -0.04
Ge1 0.663 0.481 0.193  -0.01
Ge2 0.337 0.519 0.807  -0.01
Ge3 0.873 0.901 0.352  -0.02
Ge4 0.127 0.099 0.648  -0.02

No. 2
Entry from Alexandria: an optimized crystal structure of UNi9Ge2 (GGA-PBE).

Results
**Volume**: 154 Å³/cell
**E_form**: -0.133 eV/atom

Unit cell a=4.806 b=4.806 c=8.208 alpha=72.98 beta=72.98 gamma=60.00
Last column: magnetic moment on the atom in μB.
Positions (direct):
U1 0.000 0.000 0.000  -1.00
Ni1 0.666 0.666 0.001  0.14
Ni2 0.334 0.334 0.999  0.14
Ni3 0.500 0.500 0.500  0.14
Ni4 0.412 0.412 0.259  0.08
Ni5 0.918 0.412 0.259  0.08
Ni6 0.412 0.918 0.259  0.08
Ni7 0.588 0.588 0.741  0.08
Ni8 0.588 0.082 0.741  0.08
Ni9 0.082 0.588 0.741  0.08
Ge1 0.862 0.862 0.414  0.00
Ge2 0.138 0.138 0.586  0.00

No. 3
Entry from Alexandria: an optimized crystal structure of UNiGe (GGA-PBE).

Results
**Volume**: 104 Å³/cell
**E_form**: -0.308 eV/atom

Unit cell a=5.332 b=5.332 c=6.884 alpha=52.72 beta=52.72 gamma=44.89
Last column: magnetic moment on the atom in μB.
Positions (direct):
U1 0.571 0.571 0.658  1.89
U2 0.429 0.429 0.342  1.89
Ni1 0.159 0.159 0.285  -0.12
Ni2 0.841 0.841 0.715  -0.12
Ge1 0.837 0.837 0.087  -0.04
Ge2 0.163 0.163 0.913  -0.04

Q: What is the formula in the second record?
A: UNi9Ge2